A plane-wave DFT calculation with PBE was carried out for a relaxed Pm2ScAg crystal.

Unit cell a=11.753 b=11.753 c=11.753 alpha=16.60 beta=16.60 gamma=16.60
Fractional positions:
Pm: 0.087 0.087 0.087
Pm: 0.913 0.913 0.913
Sc: 0.500 0.500 0.500
Ag: 0.000 0.000 0.000

Crystal system: trigonal
Symmetry: R-3m (166)
Density of states at the Fermi level (states/eV per atom): 1.360
Energy of formation from the pure elements (kcal/mol of atoms): 5.9
Final energy (eV per cell): -17.7
Excess energy over the best structure of this formula in the dataset (eV/atom): 0.344